Computed, not measured: a geometry-optimized RbCd4BiSb2 structure at the PBE level of DFT. Values from VASP.

The structure in Quantum ESPRESSO input format:
```
&SYSTEM
  ibrav = 0, nat = 8, ntyp = 4
/
ATOMIC_SPECIES
Rb 85.47 Rb.upf
Cd 112.41 Cd.upf
Bi 208.98 Bi.upf
Sb 121.76 Sb.upf
CELL_PARAMETERS angstrom
-4.180 -0.051 2.360
0.017 -4.800 -0.074
5.679 -0.135 10.053
ATOMIC_POSITIONS crystal
Rb 0.000 0.000 0.500
Cd 0.000 0.500 0.172
Cd 0.500 0.000 0.828
Cd 0.500 0.000 0.172
Cd 0.000 0.500 0.828
Bi 0.000 0.000 0.000
Sb 0.500 0.500 0.317
Sb 0.500 0.500 0.683
```

Calculated values
total energy	-2.243	eV per atom

=====

Computed, not measured: a geometry-optimized RbCdBiSe3 structure at the PBE level of DFT. Values from VASP.

The structure in Quantum ESPRESSO input format:
```
&SYSTEM
  ibrav = 0, nat = 12, ntyp = 4
/
ATOMIC_SPECIES
Rb 85.47 Rb.upf
Cd 112.41 Cd.upf
Bi 208.98 Bi.upf
Se 78.96 Se.upf
CELL_PARAMETERS angstrom
-0.625 -2.098 3.773
9.094 1.597 2.394
-5.430 8.013 3.557
ATOMIC_POSITIONS crystal
Rb 0.250 0.200 0.237
Rb 0.750 0.800 0.763
Cd 0.250 0.091 0.611
Cd 0.750 0.909 0.389
Bi 0.250 0.664 0.128
Bi 0.750 0.336 0.872
Se 0.750 0.875 0.123
Se 0.250 0.125 0.877
Se 0.250 0.792 0.474
Se 0.750 0.208 0.526
Se 0.750 0.452 0.150
Se 0.250 0.548 0.850
```

Calculated values
total energy	-3.426	eV per atom

=====

Computed, not measured: a geometry-optimized RbCdSnBi2 structure at the PBE level of DFT. Values from VASP.

The structure in Quantum ESPRESSO input format:
```
&SYSTEM
  ibrav = 0, nat = 5, ntyp = 4
/
ATOMIC_SPECIES
Rb 85.47 Rb.upf
Cd 112.41 Cd.upf
Sn 118.71 Sn.upf
Bi 208.98 Bi.upf
CELL_PARAMETERS angstrom
-3.407 -2.973 -2.467
3.560 -3.694 -0.464
-2.138 0.570 7.645
ATOMIC_POSITIONS crystal
Rb 0.000 0.000 0.000
Cd 0.750 0.250 0.500
Sn 0.250 0.750 0.500
Bi 0.627 0.627 0.255
Bi 0.373 0.373 0.745
```

Calculated values
energy relative to the elements	-0.174	eV/atom
total energy	-2.904	eV per atom

=====

Computed, not measured: a geometry-optimized Rb2CdSnBi2 structure at the PBE level of DFT. Values from VASP.

The structure in Quantum ESPRESSO input format:
```
&SYSTEM
  ibrav = 0, nat = 12, ntyp = 4
/
ATOMIC_SPECIES
Rb 85.47 Rb.upf
Cd 112.41 Cd.upf
Sn 118.71 Sn.upf
Bi 208.98 Bi.upf
CELL_PARAMETERS angstrom
-4.330 -2.074 -5.877
-4.045 -4.731 4.650
-1.106 9.609 2.323
ATOMIC_POSITIONS crystal
Rb 0.417 0.165 0.331
Rb 0.583 0.835 0.669
Rb 0.086 0.335 0.669
Rb 0.914 0.665 0.331
Cd 0.500 0.750 0.000
Cd 0.500 0.250 0.000
Sn 0.000 0.750 0.000
Sn 0.000 0.250 0.000
Bi 0.840 0.096 0.191
Bi 0.351 0.596 0.191
Bi 0.649 0.404 0.809
Bi 0.160 0.904 0.809
```

Calculated values
energy relative to the elements	-0.265	eV/atom
total energy	-2.701	eV per atom

=====

Computed, not measured: a geometry-optimized Rb2Cd3Sn4Bi structure at the PBE level of DFT. Values from VASP.

The structure in Quantum ESPRESSO input format:
```
&SYSTEM
  ibrav = 0, nat = 10, ntyp = 4
/
ATOMIC_SPECIES
Rb 85.47 Rb.upf
Cd 112.41 Cd.upf
Sn 118.71 Sn.upf
Bi 208.98 Bi.upf
CELL_PARAMETERS angstrom
5.157 0.000 0.000
0.000 5.157 0.000
0.000 0.000 12.355
ATOMIC_POSITIONS crystal
Rb 0.500 0.000 0.249
Rb 0.000 0.500 0.751
Cd 0.000 0.000 0.500
Cd 0.500 0.000 0.871
Cd 0.000 0.500 0.129
Sn 0.500 0.500 0.000
Sn 0.000 0.000 0.000
Sn 0.500 0.000 0.635
Sn 0.000 0.500 0.365
Bi 0.500 0.500 0.500
```

Calculated values
energy relative to the elements	-0.131	eV/atom
total energy	-2.588	eV per atom

=====

Computed, not measured: a geometry-optimized RbCdSnBi structure at the PBE level of DFT. Values from VASP.

The structure in Quantum ESPRESSO input format:
```
&SYSTEM
  ibrav = 0, nat = 8, ntyp = 4
/
ATOMIC_SPECIES
Rb 85.47 Rb.upf
Cd 112.41 Cd.upf
Sn 118.71 Sn.upf
Bi 208.98 Bi.upf
CELL_PARAMETERS angstrom
4.466 0.000 0.000
0.000 4.466 0.000
0.000 0.000 15.172
ATOMIC_POSITIONS crystal
Rb 0.750 0.750 0.277
Rb 0.250 0.250 0.723
Cd 0.750 0.250 0.000
Cd 0.250 0.750 0.000
Sn 0.250 0.750 0.500
Sn 0.750 0.250 0.500
Bi 0.750 0.750 0.867
Bi 0.250 0.250 0.133
```

Calculated values
energy relative to the elements	-0.122	eV/atom
total energy	-2.564	eV per atom

=====

Computed, not measured: a geometry-optimized Rb2SrCdBi structure at the PBE level of DFT. Values from VASP.

The structure in Quantum ESPRESSO input format:
```
&SYSTEM
  ibrav = 0, nat = 5, ntyp = 4
/
ATOMIC_SPECIES
Sr 87.62 Sr.upf
Bi 208.98 Bi.upf
Rb 85.47 Rb.upf
Cd 112.41 Cd.upf
CELL_PARAMETERS angstrom
6.320 0.000 0.000
0.000 6.538 0.000
0.000 0.000 6.320
ATOMIC_POSITIONS crystal
Sr 0.000 0.500 0.000
Bi 0.500 0.500 0.500
Rb 0.000 0.000 0.500
Rb 0.500 0.000 0.000
Cd 0.000 0.000 0.000
```

Calculated values
energy relative to the elements	0.127	eV/atom
total energy	-1.556	eV per atom

=====

Computed, not measured: a geometry-optimized Rb2SrCdBi2 structure at the PBE level of DFT. Values from VASP.

The structure in Quantum ESPRESSO input format:
```
&SYSTEM
  ibrav = 0, nat = 12, ntyp = 4
/
ATOMIC_SPECIES
Rb 85.47 Rb.upf
Sr 87.62 Sr.upf
Cd 112.41 Cd.upf
Bi 208.98 Bi.upf
CELL_PARAMETERS angstrom
-2.338 -6.862 -2.359
-0.744 -2.302 7.434
-6.685 7.370 -2.497
ATOMIC_POSITIONS crystal
Rb 0.451 0.177 0.353
Rb 0.549 0.823 0.647
Rb 0.097 0.323 0.647
Rb 0.903 0.677 0.353
Sr 0.000 0.750 0.000
Sr 0.000 0.250 0.000
Cd 0.500 0.750 0.000
Cd 0.500 0.250 0.000
Bi 0.826 0.101 0.201
Bi 0.375 0.601 0.201
Bi 0.625 0.399 0.799
Bi 0.174 0.899 0.799
```

Calculated values
energy relative to the elements	-0.499	eV/atom
total energy	-2.548	eV per atom